Run a
Compound: Li2As
Source: the Alexandria database
Functional: GGA-PBE
Structure: relaxed

Values from the calculation:
SG   P-62m (189)

POSCAR file:
```
Li2As
1.0
7.327 0.000 0.000
-3.664 6.346 0.000
0.000 0.000 3.054
Li As
6 3
Cartesian
-1.046 1.811 0.000
2.618 4.534 0.000
-2.292 3.971 1.527
4.585 0.000 1.527
1.371 2.375 1.527
2.092 0.000 0.000
0.000 4.231 0.000
0.000 0.000 1.527
3.664 2.115 0.000
```


Run b
Compound: Li2As
Source: the Alexandria database
Functional: GGA-PBE
Structure: relaxed

Values from the calculation:
SG   Immm (71)

POSCAR file:
```
Li2As
1.0
3.038 0.000 0.000
0.000 3.894 0.000
-1.519 -1.947 3.918
Li As
2 1
Cartesian
0.000 1.947 2.655
1.519 0.000 1.262
0.000 1.947 0.000
```


Which of them is least stable? Easy: run b.


Run a
Compound: NbTcNi
Source: the Alexandria database
Functional: GGA-PBE
Structure: relaxed

Values from the calculation:
SG   Ima2 (46)

POSCAR file:
```
NbTcNi
1.0
-3.521 2.172 -2.475
0.172 -4.447 -4.146
-4.075 -3.059 3.112
Ni Tc Nb
4 4 4
Cartesian
-0.337 -0.253 0.257
-2.288 -4.006 -0.260
-4.049 -2.920 -1.497
-2.097 0.833 -0.980
-5.633 -1.368 -0.230
-1.749 -3.148 -2.622
-3.566 -0.602 -2.498
-3.757 -5.441 -1.778
-4.636 -3.864 0.858
-6.344 -4.140 -1.650
-2.632 -1.473 0.105
-4.274 -3.472 -4.009
```


Run b
Compound: NbTcNi
Source: the Alexandria database
Functional: GGA-PBE
Structure: relaxed

Values from the calculation:
SG   P-1 (2)

POSCAR file:
```
NbTcNi
1.0
-0.396 -4.163 -2.031
4.147 2.395 -0.530
0.513 -0.200 5.108
Tc Ni Nb
2 2 2
Cartesian
1.181 -2.817 2.169
3.084 0.850 0.378
4.200 1.551 2.980
0.065 -3.518 -0.434
1.573 -1.431 -0.029
2.692 -0.537 2.576
```


Which of them is least stable? Easy: run b.


Run a
Compound: InSe2N2
Source: the Alexandria database
Functional: GGA-PBE
Structure: relaxed

Values from the calculation:
SG   P4/mmm (123)

POSCAR file:
```
InSe2N2
1.0
-1.573 0.895 -3.404
-3.520 -0.390 1.523
0.015 6.298 1.650
N In Se
2 1 2
Cartesian
-0.786 0.448 -1.702
-1.760 -0.195 0.762
-2.538 3.402 -0.116
0.008 3.149 0.825
0.000 0.000 0.000
```


Run b
Compound: InSe2N2
Source: the Alexandria database
Functional: GGA-PBE
Structure: relaxed

Values from the calculation:
SG   P4/mmm (123)

POSCAR file:
```
InSe2N2
1.0
-3.211 2.833 0.369
0.076 -0.470 4.271
3.780 4.234 0.399
N In Se
2 1 2
Cartesian
0.038 -0.235 2.136
-1.606 1.416 0.184
0.000 0.000 0.000
0.322 3.298 2.519
1.890 2.117 0.199
```


Which of them is least stable? Easy: run b.


Run a
Compound: Zr3W
Source: the Alexandria database
Functional: GGA-PBE
Structure: relaxed

Values from the calculation:
SG   Cmmm (65)

POSCAR file:
```
Zr3W
1.0
-2.832 0.319 0.987
0.440 -2.556 -1.539
2.429 -4.691 8.488
Zr W
3 1
Cartesian
1.214 -2.346 4.244
0.688 -4.758 6.308
-0.651 -2.171 1.628
0.000 0.000 0.000
```


Run b
Compound: Zr3W
Source: the Alexandria database
Functional: GGA-PBE
Structure: relaxed

Values from the calculation:
SG   P4/mmm (123)

POSCAR file:
```
Zr3W
1.0
-4.327 0.210 -2.333
1.556 -3.406 -3.192
-1.208 -2.445 2.020
Zr W
3 1
Cartesian
-1.386 -1.598 -2.763
0.174 -2.926 -0.586
-2.768 -1.118 -0.156
0.000 0.000 0.000
```


Which of them is least stable? Easy: run b.